Record 1
SrTiSe2 | PBE | optimized geometry

Cell lengths 7.120, 7.120, 7.120 Å; angles 90.00, 90.00, 90.00 degrees
Space group Fm-3m (No. 225)
One atom of each set of equivalent atoms:
1 Sr 0.000 0.000 0.000
2 Ti 0.000 0.000 0.500
3 Se 0.250 0.250 0.250

Calculated values
- Formation energy (no corrections): -413 kJ/mol of formula units
- Energy above the lowest structure with this stoichiometry: 0.331 eV per formula unit
- Total magnetization: 8.00 Bohr magnetons per cell



Record 2
SrTiSe3 | PBE | optimized geometry

Cell lengths 5.028, 5.028, 5.028 Å; angles 90.00, 90.00, 90.00 degrees
Space group Pm-3m (No. 221)
One atom of each set of equivalent atoms:
1 Sr 0.000 0.000 0.000
2 Ti 0.500 0.500 0.500
3 Se 0.000 0.500 0.500

Calculated values
- Formation energy (no corrections): -623 kJ/mol of formula units
- Total magnetization: 0.00 Bohr magnetons per cell



Record 3
Sr2TiSe | PBE | optimized geometry

Cell lengths 11.333, 11.333, 4.928 Å; angles 90.00, 90.00, 90.00 degrees
Space group I-42d (No. 122)
One atom of each set of equivalent atoms:
1 Sr 0.097 0.250 0.125
2 Ti 0.000 0.000 0.500
3 Se 0.000 0.000 0.000

Calculated values
- Formation energy (no corrections): -111 kJ/mol of formula units
- Total magnetization: 12.44 Bohr magnetons per cell